Record 1
# KScAg4 (PBE, optimized geometry)
data_KScAg4
_chemical_formula_sum 'K4 Sc4 Ag16'
_cell_length_a 8.117
_cell_length_b 8.117
_cell_length_c 8.117
_cell_angle_alpha 90.00
_cell_angle_beta 90.00
_cell_angle_gamma 90.00
_space_group_name_H-M_alt 'F -4 3 m'
_space_group_IT_number 216
_space_group_name_Hall 'F -4 2 3'
loop_
_atom_site_label
_atom_site_fract_x
_atom_site_fract_y
_atom_site_fract_z
K1 0.000 0.000 0.000
Sc1 0.250 0.250 0.750
Ag1 0.125 0.125 0.375
# Fermi-level density of states: 21.0 states/eV/cell
# Total energy: -3.013 eV per atom
# M_tot: 4.8 μB per cell
# Crystal system: cubic

***

Record 2
# KScAg2 (PBE, optimized geometry)
data_KScAg2
_chemical_formula_sum 'K4 Sc4 Ag8'
_cell_length_a 7.320
_cell_length_b 7.320
_cell_length_c 7.320
_cell_angle_alpha 90.00
_cell_angle_beta 90.00
_cell_angle_gamma 90.00
_space_group_name_H-M_alt 'F m -3 m'
_space_group_IT_number 225
_space_group_name_Hall '-F 4 2 3'
loop_
_atom_site_label
_atom_site_fract_x
_atom_site_fract_y
_atom_site_fract_z
K1 0.000 0.000 0.000
Sc1 0.000 0.000 0.500
Ag1 0.250 0.250 0.250
# Fermi-level density of states: 18.1 states/eV/cell
# Total energy: -3.029 eV per atom
# M_tot: 0.0 μB per cell
# Crystal system: cubic

***

Record 3
# KScAg (PBE, optimized geometry)
data_KScAg
_chemical_formula_sum 'K4 Sc4 Ag4'
_cell_length_a 7.288
_cell_length_b 7.288
_cell_length_c 7.288
_cell_angle_alpha 90.00
_cell_angle_beta 90.00
_cell_angle_gamma 90.00
_space_group_name_H-M_alt 'F -4 3 m'
_space_group_IT_number 216
_space_group_name_Hall 'F -4 2 3'
loop_
_atom_site_label
_atom_site_fract_x
_atom_site_fract_y
_atom_site_fract_z
K1 0.000 0.000 0.000
Sc1 0.000 0.000 0.500
Ag1 0.250 0.250 0.750
# Fermi-level density of states: 16.4 states/eV/cell
# Total energy: -2.859 eV per atom
# M_tot: 2.3 μB per cell
# Crystal system: cubic